(1)
# Ti2TcRhSe

Ti2TcRhSe at its PBEsol-relaxed geometry (SCAN, Alexandria via LeMat-Bulk).

The structure in CIF format:
```
data_Ti2TcRhSe
_cell_length_a 4.525
_cell_length_b 4.525
_cell_length_c 4.400
_cell_angle_alpha 90.00
_cell_angle_beta 90.00
_cell_angle_gamma 90.00
_space_group_name_H-M_alt 'P 4/m m m'
_space_group_IT_number 123
_space_group_name_Hall '-P 4 2'
loop_
_atom_site_label
_atom_site_fract_x
_atom_site_fract_y
_atom_site_fract_z
_atom_site_occupancy
Ti1 0.000 0.500 0.000 1
Tc1 0.000 0.000 0.500 1
Rh1 0.500 0.500 0.500 1
Se1 0.000 0.000 0.000 1
```

Computed properties:
Magnetic moment, Bohr magnetons per cell: 0.0
E_tot, Ry per atom: -1.7408

(2)
# Te3RhSe

Te3RhSe at its PBEsol-relaxed geometry (SCAN, Alexandria via LeMat-Bulk).

The structure in CIF format:
```
data_Te3RhSe
_cell_length_a 5.104
_cell_length_b 5.104
_cell_length_c 5.104
_cell_angle_alpha 90.00
_cell_angle_beta 90.00
_cell_angle_gamma 90.00
_space_group_name_H-M_alt 'P m -3 m'
_space_group_IT_number 221
_space_group_name_Hall '-P 4 2 3'
loop_
_atom_site_label
_atom_site_fract_x
_atom_site_fract_y
_atom_site_fract_z
_atom_site_occupancy
Te1 0.000 0.000 0.500 1
Rh1 0.000 0.000 0.000 1
Se1 0.500 0.500 0.500 1
```

Computed properties:
Magnetic moment, Bohr magnetons per cell: 0.0
E_tot, Ry per atom: -2.4023

(3)
# TlRhSe2

TlRhSe2 at its PBEsol-relaxed geometry (SCAN, Alexandria via LeMat-Bulk).

The structure in CIF format:
```
data_TlRhSe2
_cell_length_a 3.7707
_cell_length_b 3.7707
_cell_length_c 7.1980
_cell_angle_alpha 90.00
_cell_angle_beta 90.00
_cell_angle_gamma 120.00
_space_group_name_H-M_alt 'P -3 m 1'
_space_group_IT_number 164
_space_group_name_Hall '-P 3 2"'
loop_
_atom_site_label
_atom_site_fract_x
_atom_site_fract_y
_atom_site_fract_z
_atom_site_occupancy
Tl1 0.0000 0.0000 0.0000 1
Rh1 0.0000 0.0000 0.5000 1
Se1 0.3333 0.6667 0.3312 1
```

Computed properties:
Magnetic moment, Bohr magnetons per cell: 0.0
E_tot, Ry per atom: -2.7233

(4)
# TlRhSe3

TlRhSe3 at its PBEsol-relaxed geometry (SCAN, Alexandria via LeMat-Bulk).

The structure in CIF format:
```
data_TlRhSe3
_cell_length_a 5.198
_cell_length_b 5.198
_cell_length_c 5.198
_cell_angle_alpha 90.00
_cell_angle_beta 90.00
_cell_angle_gamma 90.00
_space_group_name_H-M_alt 'P m -3 m'
_space_group_IT_number 221
_space_group_name_Hall '-P 4 2 3'
loop_
_atom_site_label
_atom_site_fract_x
_atom_site_fract_y
_atom_site_fract_z
_atom_site_occupancy
Tl1 0.000 0.000 0.000 1
Rh1 0.500 0.500 0.500 1
Se1 0.000 0.000 0.500 1
```

Computed properties:
Magnetic moment, Bohr magnetons per cell: 3.4
E_tot, Ry per atom: -2.3533

(5)
# TlRhSe2

TlRhSe2 at its PBEsol-relaxed geometry (SCAN, Alexandria via LeMat-Bulk).

The structure in CIF format:
```
data_TlRhSe2
_cell_length_a 3.131
_cell_length_b 3.131
_cell_length_c 8.188
_cell_angle_alpha 90.00
_cell_angle_beta 90.00
_cell_angle_gamma 90.00
_space_group_name_H-M_alt 'P 4/m m m'
_space_group_IT_number 123
_space_group_name_Hall '-P 4 2'
loop_
_atom_site_label
_atom_site_fract_x
_atom_site_fract_y
_atom_site_fract_z
_atom_site_occupancy
Tl1 0.000 0.000 0.000 1
Rh1 0.000 0.000 0.500 1
Se1 0.500 0.500 0.318 1
```

Computed properties:
Magnetic moment, Bohr magnetons per cell: 0.0
E_tot, Ry per atom: -2.6897

(6)
# TlRhSe2

TlRhSe2 at its PBEsol-relaxed geometry (SCAN, Alexandria via LeMat-Bulk).

The structure in CIF format:
```
data_TlRhSe2
_cell_length_a 4.812
_cell_length_b 3.683
_cell_length_c 5.428
_cell_angle_alpha 90.00
_cell_angle_beta 115.58
_cell_angle_gamma 90.00
_space_group_name_H-M_alt 'P 1 2/m 1'
_space_group_IT_number 10
_space_group_name_Hall '-P 2y'
loop_
_atom_site_label
_atom_site_fract_x
_atom_site_fract_y
_atom_site_fract_z
_atom_site_occupancy
Tl1 0.000 0.000 0.000 1
Rh1 0.500 0.000 0.500 1
Se1 0.283 0.500 0.657 1
```

Computed properties:
Magnetic moment, Bohr magnetons per cell: 0.0
E_tot, Ry per atom: -2.7159

(7)
# TlRh3Se

TlRh3Se at its PBEsol-relaxed geometry (SCAN, Alexandria via LeMat-Bulk).

The structure in CIF format:
```
data_TlRh3Se
_cell_length_a 4.530
_cell_length_b 4.530
_cell_length_c 4.530
_cell_angle_alpha 90.00
_cell_angle_beta 90.00
_cell_angle_gamma 90.00
_space_group_name_H-M_alt 'P m -3 m'
_space_group_IT_number 221
_space_group_name_Hall '-P 4 2 3'
loop_
_atom_site_label
_atom_site_fract_x
_atom_site_fract_y
_atom_site_fract_z
_atom_site_occupancy
Tl1 0.000 0.000 0.000 1
Rh1 0.000 0.500 0.500 1
Se1 0.500 0.500 0.500 1
```

Computed properties:
Magnetic moment, Bohr magnetons per cell: 0.0
E_tot, Ry per atom: -2.8171

(8)
# U12Rh4Se31

U12Rh4Se31 at its PBEsol-relaxed geometry (SCAN, Alexandria via LeMat-Bulk).

The structure in CIF format:
```
data_U12Rh4Se31
_cell_length_a 13.384
_cell_length_b 13.384
_cell_length_c 13.458
_cell_angle_alpha 90.00
_cell_angle_beta 90.00
_cell_angle_gamma 90.00
_space_group_name_H-M_alt 'I 4/m m m'
_space_group_IT_number 139
_space_group_name_Hall '-I 4 2'
loop_
_atom_site_label
_atom_site_fract_x
_atom_site_fract_y
_atom_site_fract_z
_atom_site_occupancy
U1 0.000 0.296 0.205 1
U2 0.200 0.200 0.000 1
Rh1 0.250 0.250 0.250 1
Se1 0.000 0.000 0.000 1
Se2 0.000 0.269 0.000 1
Se3 0.000 0.500 0.250 1
Se4 0.125 0.125 0.185 1
Se5 0.127 0.308 0.374 1
```

Computed properties:
Magnetic moment, Bohr magnetons per cell: 43.9
E_tot, Ry per atom: -3.2029

(9)
# RhWSe

RhWSe at its PBEsol-relaxed geometry (SCAN, Alexandria via LeMat-Bulk).

The structure in CIF format:
```
data_RhWSe
_cell_length_a 5.797
_cell_length_b 5.797
_cell_length_c 5.797
_cell_angle_alpha 90.00
_cell_angle_beta 90.00
_cell_angle_gamma 90.00
_space_group_name_H-M_alt 'F -4 3 m'
_space_group_IT_number 216
_space_group_name_Hall 'F -4 2 3'
loop_
_atom_site_label
_atom_site_fract_x
_atom_site_fract_y
_atom_site_fract_z
_atom_site_occupancy
Rh1 0.000 0.000 0.000 1
W1 0.000 0.000 0.500 1
Se1 0.250 0.250 0.750 1
```

Computed properties:
Magnetic moment, Bohr magnetons per cell: 0.0
E_tot, Ry per atom: -2.9854

(10)
# Rh2WSe

Rh2WSe at its PBEsol-relaxed geometry (SCAN, Alexandria via LeMat-Bulk).

The structure in CIF format:
```
data_Rh2WSe
_cell_length_a 9.019
_cell_length_b 2.896
_cell_length_c 4.525
_cell_angle_alpha 90.00
_cell_angle_beta 93.79
_cell_angle_gamma 90.00
_space_group_name_H-M_alt 'C 1 2/m 1'
_space_group_IT_number 12
_space_group_name_Hall '-C 2y'
loop_
_atom_site_label
_atom_site_fract_x
_atom_site_fract_y
_atom_site_fract_z
_atom_site_occupancy
Rh1 0.234 0.000 0.240 1
W1 0.000 0.500 0.000 1
Se1 0.000 0.000 0.500 1
```

Computed properties:
Magnetic moment, Bohr magnetons per cell: 0.0
E_tot, Ry per atom: -2.8763

(11)
# Rh2WSe

Rh2WSe at its PBEsol-relaxed geometry (SCAN, Alexandria via LeMat-Bulk).

The structure in CIF format:
```
data_Rh2WSe
_cell_length_a 3.848
_cell_length_b 3.848
_cell_length_c 7.858
_cell_angle_alpha 90.00
_cell_angle_beta 90.00
_cell_angle_gamma 90.00
_space_group_name_H-M_alt 'I 4/m m m'
_space_group_IT_number 139
_space_group_name_Hall '-I 4 2'
loop_
_atom_site_label
_atom_site_fract_x
_atom_site_fract_y
_atom_site_fract_z
_atom_site_occupancy
Rh1 0.000 0.500 0.250 1
W1 0.000 0.000 0.000 1
Se1 0.000 0.000 0.500 1
```

Computed properties:
Magnetic moment, Bohr magnetons per cell: 0.0
E_tot, Ry per atom: -2.8659

(12)
# RhWSe2

RhWSe2 at its PBEsol-relaxed geometry (SCAN, Alexandria via LeMat-Bulk).

The structure in CIF format:
```
data_RhWSe2
_cell_length_a 4.371
_cell_length_b 4.371
_cell_length_c 3.172
_cell_angle_alpha 90.00
_cell_angle_beta 90.00
_cell_angle_gamma 90.00
_space_group_name_H-M_alt 'P 4/m m m'
_space_group_IT_number 123
_space_group_name_Hall '-P 4 2'
loop_
_atom_site_label
_atom_site_fract_x
_atom_site_fract_y
_atom_site_fract_z
_atom_site_occupancy
Rh1 0.000 0.000 0.000 1
W1 0.500 0.500 0.000 1
Se1 0.000 0.500 0.500 1
```

Computed properties:
Magnetic moment, Bohr magnetons per cell: 0.0
E_tot, Ry per atom: -2.6085

| no. | density (g/cm3) |
| --- | --- |
| 1 | 6.92 |
| 2 | 7.05 |
| 3 | 8.72 |
| 4 | 6.43 |
| 5 | 9.62 |
| 6 | 8.90 |
| 7 | 10.58 |
| 8 | 7.87 |
| 9 | 12.47 |
| 10 | 13.20 |
| 11 | 13.38 |
| 12 | 12.19 |